No. 1
The following is a DFT calculation (PBE) of a relaxed Pm2Ho3In crystal.

Cell lengths 3.434, 17.478, 6.441 Å; angles 90.00, 90.00, 90.00 degrees
Space group Imm2 (No. 44)
Inequivalent atoms, fractional coordinates:
Pm (0.000, 0.188, 0.000)
Ho (0.000, 0.137, 0.495)
Ho (0.000, 0.500, 0.706)
In (0.000, 0.000, 0.782)

Properties
* DOS at the Fermi energy: 1.3902 states/eV/atom
* energy above the lowest structure with this stoichiometry: 250 meV per atom
* formation enthalpy at 0 K: 58.1 kJ/mol of formula units

No. 2
The following is a DFT calculation (PBE) of a relaxed Pm3Ho4In4 crystal.

Cell lengths 5.295, 7.036, 17.624 Å; angles 90.00, 90.00, 90.00 degrees
Space group Immm (No. 71)
Inequivalent atoms, fractional coordinates:
Pm (0.000, 0.000, 0.000)
Pm (0.000, 0.500, 0.103)
Ho (0.000, 0.265, 0.321)
In (0.000, 0.000, 0.178)
In (0.000, 0.214, 0.500)

Properties
* DOS at the Fermi energy: 0.9997 states/eV/atom
* formation enthalpy at 0 K: -294.6 kJ/mol of formula units

No. 3
The following is a DFT calculation (PBE) of a relaxed PmHo3In3 crystal.

Cell lengths 9.3930, 9.3930, 5.1604 Å; angles 90.00, 90.00, 120.00 degrees
Space group P6_3/m (No. 176)
Inequivalent atoms, fractional coordinates:
Pm (0.3333, 0.6667, 0.2500)
Ho (0.0006, 0.2317, 0.2500)
In (0.0698, 0.4523, 0.7500)

Properties
* DOS at the Fermi energy: 0.8396 states/eV/atom
* energy above the lowest structure with this stoichiometry: 0 meV per atom
* formation enthalpy at 0 K: -240.4 kJ/mol of formula units

No. 4
The following is a DFT calculation (PBE) of a relaxed Pm5Ho4In crystal.

Cell lengths 10.616, 10.616, 5.930 Å; angles 90.00, 90.00, 90.00 degrees
Space group I4mm (No. 107)
Inequivalent atoms, fractional coordinates:
Pm (0.000, 0.000, 0.000)
Pm (0.187, 0.187, 0.281)
Ho (0.000, 0.318, 0.788)
In (0.000, 0.000, 0.520)

Properties
* DOS at the Fermi energy: 1.3553 states/eV/atom
* energy above the lowest structure with this stoichiometry: 147 meV per atom
* formation enthalpy at 0 K: 137.9 kJ/mol of formula units

No. 5
The following is a DFT calculation (PBE) of a relaxed Pm6HoIn5 crystal.

Cell lengths 5.045, 9.061, 15.235 Å; angles 90.00, 90.00, 90.00 degrees
Space group Immm (No. 71)
Inequivalent atoms, fractional coordinates:
Pm (0.000, 0.233, 0.000)
Pm (0.000, 0.261, 0.329)
Ho (0.000, 0.000, 0.500)
In (0.000, 0.000, 0.173)
In (0.000, 0.500, 0.153)
In (0.000, 0.500, 0.500)

Properties
* DOS at the Fermi energy: 0.9780 states/eV/atom
* formation enthalpy at 0 K: -459.6 kJ/mol of formula units

No. 6
The following is a DFT calculation (PBE) of a relaxed Pm5Ho4In crystal.

Cell lengths 4.163, 4.163, 18.394 Å; angles 90.00, 90.00, 90.00 degrees
Space group P4/mmm (No. 123)
Inequivalent atoms, fractional coordinates:
Pm (0.000, 0.000, 0.000)
Pm (0.000, 0.000, 0.204)
Pm (0.000, 0.000, 0.410)
Ho (0.500, 0.500, 0.102)
Ho (0.500, 0.500, 0.305)
In (0.500, 0.500, 0.500)

Properties
* DOS at the Fermi energy: 1.7608 states/eV/atom
* energy above the lowest structure with this stoichiometry: 0 meV per atom
* formation enthalpy at 0 K: -4.2 kJ/mol of formula units

No. 7
The following is a DFT calculation (PBE) of a relaxed PmHo3In2 crystal.

Cell lengths 16.284, 5.362, 9.232 Å; angles 90.00, 119.65, 90.00 degrees
Space group C2/m (No. 12)
Inequivalent atoms, fractional coordinates:
Pm (0.131, 0.000, 0.170)
Ho (0.059, 0.000, 0.715)
Ho (0.116, 0.500, 0.544)
Ho (0.193, 0.500, 0.992)
In (0.021, 0.500, 0.169)
In (0.227, 0.000, 0.593)

Properties
* DOS at the Fermi energy: 1.0705 states/eV/atom
* energy above the lowest structure with this stoichiometry: 47 meV per atom
* formation enthalpy at 0 K: -143.7 kJ/mol of formula units

No. 8
The following is a DFT calculation (PBE) of a relaxed PmHoIn4 crystal.

Cell lengths 8.521, 8.521, 8.521 Å; angles 90.00, 90.00, 90.00 degrees
Space group F-43m (No. 216)
Inequivalent atoms, fractional coordinates:
Pm (0.000, 0.000, 0.000)
Ho (0.250, 0.250, 0.250)
In (0.125, 0.125, 0.625)

Properties
* DOS at the Fermi energy: 0.6986 states/eV/atom
* energy above the lowest structure with this stoichiometry: 56 meV per atom
* formation enthalpy at 0 K: -207.4 kJ/mol of formula units